A geometry-optimized CsKCrF6 structure. Source: Alexandria via LeMat-Bulk, functional PBE+U.

a = 6.0225 Å, b = 6.0225 Å, c = 5.2337 Å
α = 90.01°, β = 90.01°, γ = 59.96°
Last column: nearest neighbours and their distance in Å.
Atoms (fractional coordinates):
Cs: 0.0000 0.0000 0.0000  9 F 3.07-3.11
K: 0.3333 0.3333 0.4715  9 F 2.79-3.03
Cr: 0.6669 0.6669 0.6569  6 F 1.86-1.87
F: 0.3727 0.8145 0.4543  1 Cr 1.86
F: 0.5187 0.5187 0.8571  1 Cr 1.87
F: 0.5186 0.9627 0.8578  1 Cr 1.87
F: 0.8142 0.8142 0.4550  1 Cr 1.87
F: 0.8145 0.3727 0.4543  1 Cr 1.86
F: 0.9627 0.5186 0.8578  1 Cr 1.87

Output
D(E_F) = 0.00 states/eV/f.u.
M_tot = 0.2222 μB per atom
calculated density = 3415 kg/m³
E = -4.98 eV/atom